VASP calculation (GGA-PBE) on MgHg after structural relaxation.

Cell lengths 5.7009, 5.7009, 5.8945 Å; angles 90.00, 90.00, 90.00 degrees
Space group P4_2/mnm (No. 136)
Inequivalent atoms, fractional coordinates:
Mg: 0.1999 0.1999 0.0000 [4 per cell]
Hg: 0.2000 0.2000 0.5000 [4 per cell]



VASP calculation (GGA-PBE) on Mg8Hg after structural relaxation.

Cell lengths 9.6228, 9.6228, 4.3522 Å; angles 90.00, 90.00, 90.00 degrees
Space group I4/mmm (No. 139)
Inequivalent atoms, fractional coordinates:
Mg: 0.0000 0.3323 0.0000 [8 per cell]
Mg: 0.1640 0.1640 0.5000 [8 per cell]
Hg: 0.0000 0.0000 0.0000 [2 per cell]



VASP calculation (GGA-PBE) on MgHg after structural relaxation.

Cell lengths 10.7145, 10.7145, 3.3926 Å; angles 90.00, 90.00, 90.00 degrees
Space group I4/m (No. 87)
Inequivalent atoms, fractional coordinates:
Mg: 0.1066 0.6435 0.0000 [8 per cell]
Hg: 0.0931 0.1726 0.0000 [8 per cell]



VASP calculation (GGA-PBE) on Mg3Hg2 after structural relaxation.

## Properties
Energy relative to the lowest polymorph listed for this composition in meV per atom: 61.2

Cell lengths 3.4638, 3.4638, 33.4669 Å; angles 90.00, 90.00, 120.00 degrees
Space group R-3m (No. 166, hexagonal axes)
Inequivalent atoms, fractional coordinates:
Mg: 0.0000 0.0000 0.0000 [3 per cell]
Mg: 0.0000 0.0000 0.2039 [6 per cell]
Hg: 0.0000 0.0000 0.3984 [6 per cell]



Calculated formation energy across the listed records, respectively: -113; -56; -70; -115 meV per atom.